DFT (GGA+U) results for an optimized crystal structure of Te2MoO7.

The calculation puts the energy at -6.04 eV per atom. For the volume, the calculation gives 160 Å³/f.u.

The structure belongs to space group P2_1/c (No. 14); the cell edges are 4.380, 9.190 and 16.045 Å and the angles 90.00°, 96.32° and 90.00°. The inequivalent atoms are Te at (0.165, 0.028, 0.280), Te at (0.292, 0.212, 0.612), Mo at (0.118, 0.631, 0.569), O at (0.023, 0.684, 0.063), O at (0.030, 0.101, 0.051), O at (0.063, 0.601, 0.686), O at (0.106, 0.652, 0.859), O at (0.409, 0.159, 0.202), O at (0.417, 0.033, 0.688) and O at (0.484, 0.125, 0.931).